(1)
Density functional theory data (GGA-PBEsol) for a relaxed ZrSnIr3 crystal.

Properties
formation energy	127.63	kJ/mol of atoms
theoretical density	12.337	g/cm³

```
data_ZrSnIr3
_symmetry_space_group_name_H-M 'P m -3 m'
_symmetry_Int_Tables_number 221
_symmetry_space_group_name_Hall '-P 4 2 3'
_cell_length_a 4.731
_cell_length_b 4.731
_cell_length_c 4.731
_cell_angle_alpha 90.00
_cell_angle_beta 90.00
_cell_angle_gamma 90.00
loop_
_atom_site_label
_atom_site_type_symbol
_atom_site_fract_x
_atom_site_fract_y
_atom_site_fract_z
_atom_site_occupancy
Zr1 Zr 0.000 0.000 0.000 1
Sn1 Sn 0.500 0.500 0.500 1
Ir1 Ir 0.000 0.500 0.500 1
```


(2)
Density functional theory data (GGA-PBEsol) for a relaxed Sr2Ir crystal.

Properties
formation energy	1.75	kJ/mol of atoms
theoretical density	6.367	g/cm³

```
data_Sr2Ir
_symmetry_space_group_name_H-M 'I 41/a m d'
_symmetry_Int_Tables_number 141
_cell_length_a 3.576
_cell_length_b 3.576
_cell_length_c 29.986
_cell_angle_alpha 90.00
_cell_angle_beta 90.00
_cell_angle_gamma 90.00
loop_
_symmetry_equiv_pos_as_xyz
'x,y,z'
'-x,-y,-z'
'-y+1/4,x+3/4,z+1/4'
'y+1/4,-x+3/4,-z+1/4'
'-x+1/2,-y,z+1/2'
'x+1/2,y,-z+1/2'
'y+1/4,-x+1/4,z+3/4'
'-y+1/4,x+1/4,-z+3/4'
'x,-y,-z'
'-x,y,z'
'-y+1/4,-x+1/4,-z+3/4'
'y+1/4,x+1/4,z+3/4'
'-x+1/2,y,-z+1/2'
'x+1/2,-y,z+1/2'
'y+1/4,x+3/4,-z+1/4'
'-y+1/4,-x+3/4,z+1/4'
'x+1/2,y+1/2,z+1/2'
'-x+1/2,-y+1/2,-z+1/2'
'-y+3/4,x+1/4,z+3/4'
'y+3/4,-x+1/4,-z+3/4'
'-x,-y+1/2,z'
'x,y+1/2,-z'
'y+3/4,-x+3/4,z+1/4'
'-y+3/4,x+3/4,-z+1/4'
'x+1/2,-y+1/2,-z+1/2'
'-x+1/2,y+1/2,z+1/2'
'-y+3/4,-x+3/4,-z+1/4'
'y+3/4,x+3/4,z+1/4'
'-x,y+1/2,-z'
'x,-y+1/2,z'
'y+3/4,x+1/4,-z+3/4'
'-y+3/4,-x+1/4,z+3/4'
loop_
_atom_site_label
_atom_site_type_symbol
_atom_site_fract_x
_atom_site_fract_y
_atom_site_fract_z
_atom_site_occupancy
Sr1 Sr 0.000 0.250 0.317 1
Ir1 Ir 0.000 0.250 0.875 1
```